DFT (PBE-GGA) results for a relaxed ZnSn2Os2 crystal.

abc: 7.492 7.492 3.230
angles: 90.00 90.00 90.00
Atoms (fractional coordinates):
1 Zn 0.000 0.000 0.000
2 Zn 0.500 0.500 0.000
3 Os 0.355 0.855 0.000
4 Os 0.855 0.645 0.000
5 Os 0.645 0.145 0.000
6 Os 0.145 0.355 0.000
7 Sn 0.154 0.654 0.500
8 Sn 0.654 0.846 0.500
9 Sn 0.846 0.346 0.500
10 Sn 0.346 0.154 0.500

Summary:
For the density of states at the Fermi level, the calculation gives 0.447 states/eV/atom. Its magnetic moment is 0.0 μB/cell. For the formation energy, the calculation gives 0.345 eV per atom.



DFT (PBE-GGA) results for a relaxed ZnSn2Os crystal.

abc: 9.657 9.657 7.289
angles: 48.51 48.51 90.00
Atoms (fractional coordinates):
1 Zn 0.500 0.500 0.000
2 Zn 0.250 0.750 0.500
3 Os 0.000 0.000 0.000
4 Os 0.750 0.250 0.500
5 Sn 0.875 0.125 0.250
6 Sn 0.875 0.625 0.250
7 Sn 0.375 0.125 0.750
8 Sn 0.875 0.125 0.750

Summary:
For the density of states at the Fermi level, the calculation gives 0.000 states/eV/atom. Its magnetic moment is 0.0 μB/cell. For the formation energy, the calculation gives 0.212 eV per atom.



DFT (PBE-GGA) results for a relaxed Zr3SnOs crystal.

abc: 5.054 5.054 5.054
angles: 90.00 90.00 90.00
Atoms (fractional coordinates):
1 Os 0.000 0.000 0.000
2 Sn 0.500 0.500 0.500
3 Zr 0.000 0.500 0.000
4 Zr 0.000 0.000 0.500
5 Zr 0.500 0.000 0.000

Summary:
The offset from the most stable computed form is 0 meV per atom. For the density of states at the Fermi level, the calculation gives 1.418 states/eV/atom. Its magnetic moment is 0.0 μB/cell. For the formation energy, the calculation gives 0.146 eV per atom.



DFT (PBE-GGA) results for a relaxed ZrSnOs crystal.

abc: 4.300 4.300 7.329
angles: 107.06 107.06 90.00
Atoms (fractional coordinates):
1 Zr 0.136 0.136 0.273
2 Zr 0.864 0.864 0.727
3 Os 0.000 0.500 0.000
4 Os 0.500 0.000 0.000
5 Sn 0.636 0.636 0.271
6 Sn 0.364 0.364 0.729

Summary:
For the density of states at the Fermi level, the calculation gives 0.709 states/eV/atom. Its magnetic moment is 0.0 μB/cell. For the formation energy, the calculation gives -0.305 eV per atom.



DFT (PBE-GGA) results for a relaxed ZrSnOs crystal.

abc: 3.207 3.207 6.065
angles: 105.33 105.33 90.00
Atoms (fractional coordinates):
1 Os 0.668 0.668 0.336
2 Sn 0.017 0.017 0.033
3 Zr 0.315 0.315 0.631

Summary:
For the density of states at the Fermi level, the calculation gives 0.512 states/eV/atom. Its magnetic moment is 0.0 μB/cell. For the formation energy, the calculation gives -0.179 eV per atom.



DFT (PBE-GGA) results for a relaxed Zr2SnOs crystal.

abc: 7.701 7.701 6.215
angles: 51.72 51.72 90.00
Atoms (fractional coordinates):
1 Os 0.000 0.000 0.000
2 Os 0.750 0.250 0.500
3 Sn 0.500 0.500 0.000
4 Sn 0.250 0.750 0.500
5 Zr 0.672 0.125 0.250
6 Zr 0.078 0.625 0.250
7 Zr 0.375 0.328 0.750
8 Zr 0.875 0.922 0.750

Summary:
For the density of states at the Fermi level, the calculation gives 0.877 states/eV/atom. Its magnetic moment is 0.0 μB/cell. For the formation energy, the calculation gives 0.079 eV per atom.



DFT (PBE-GGA) results for a relaxed Zr4SnOs crystal.

abc: 5.850 6.882 7.517
angles: 90.00 87.95 90.00
Atoms (fractional coordinates):
1 Zr 0.812 0.692 0.249
2 Zr 0.688 0.192 0.751
3 Zr 0.410 0.349 0.363
4 Zr 0.090 0.849 0.637
5 Zr 0.188 0.308 0.751
6 Zr 0.312 0.808 0.249
7 Zr 0.590 0.651 0.637
8 Zr 0.910 0.151 0.363
9 Sn 0.000 0.000 0.000
10 Sn 0.500 0.500 0.000
11 Os 0.500 0.000 0.500
12 Os 0.000 0.500 0.500

Summary:
For the density of states at the Fermi level, the calculation gives 0.982 states/eV/atom. Its magnetic moment is 0.0 μB/cell. For the formation energy, the calculation gives -0.044 eV per atom.



DFT (PBE-GGA) results for a relaxed Zr12Sn6Os crystal.

abc: 7.952 7.952 7.952
angles: 99.65 99.65 99.65
Atoms (fractional coordinates):
1 Zr 0.791 0.590 0.472
2 Zr 0.472 0.791 0.590
3 Zr 0.590 0.472 0.791
4 Zr 0.209 0.410 0.528
5 Zr 0.528 0.209 0.410
6 Zr 0.410 0.528 0.209
7 Zr 0.066 0.021 0.329
8 Zr 0.979 0.671 0.934
9 Zr 0.671 0.934 0.979
10 Zr 0.934 0.979 0.671
11 Zr 0.021 0.329 0.066
12 Zr 0.329 0.066 0.021
13 Sn 0.673 0.885 0.331
14 Sn 0.669 0.327 0.115
15 Sn 0.115 0.669 0.327
16 Sn 0.327 0.115 0.669
17 Sn 0.331 0.673 0.885
18 Sn 0.885 0.331 0.673
19 Os 0.000 0.000 0.000

Summary:
For the density of states at the Fermi level, the calculation gives 0.873 states/eV/atom. Its magnetic moment is 0.0 μB/cell. For the formation energy, the calculation gives -0.079 eV per atom.



DFT (PBE-GGA) results for a relaxed Zr2SnOs crystal.

abc: 3.168 3.168 8.170
angles: 90.00 90.00 90.00
Atoms (fractional coordinates):
1 Os 0.500 0.500 0.000
2 Sn 0.500 0.500 0.500
3 Zr 0.000 0.000 0.790
4 Zr 0.000 0.000 0.210

Summary:
For the density of states at the Fermi level, the calculation gives 0.632 states/eV/atom. Its magnetic moment is 0.0 μB/cell. For the formation energy, the calculation gives -0.417 eV per atom.



DFT (PBE-GGA) results for a relaxed Zr2SnOs crystal.

abc: 3.350 3.350 9.028
angles: 79.31 79.31 60.00
Atoms (fractional coordinates):
1 Os 0.000 0.000 0.000
2 Sn 0.500 0.500 0.500
3 Zr 0.261 0.261 0.217
4 Zr 0.739 0.739 0.783

Summary:
For the density of states at the Fermi level, the calculation gives 0.889 states/eV/atom. Its magnetic moment is 0.0 μB/cell. For the formation energy, the calculation gives -0.141 eV per atom.



DFT (PBE-GGA) results for a relaxed ZrSn2Os crystal.

abc: 4.812 4.812 4.812
angles: 60.00 60.00 60.00
Each line ends with the local moment (μB).
Atoms (fractional coordinates):
1 Os 0.500 0.500 0.500  0.24
2 Sn 0.250 0.250 0.250  0.03
3 Sn 0.750 0.750 0.750  0.03
4 Zr 0.000 0.000 0.000  0.43

Summary:
The offset from the most stable computed form is 0 meV per atom. For the density of states at the Fermi level, the calculation gives 1.424 states/eV/atom. Its magnetic moment is 0.9 μB/cell. For the formation energy, the calculation gives 0.154 eV per atom.



DFT (PBE-GGA) results for a relaxed ZrSn2Os crystal.

abc: 4.150 4.150 10.562
angles: 78.67 78.67 90.00
Atoms (fractional coordinates):
1 Os 0.000 0.000 0.000
2 Os 0.750 0.250 0.500
3 Sn 0.636 0.125 0.250
4 Sn 0.114 0.625 0.250
5 Sn 0.375 0.364 0.750
6 Sn 0.875 0.886 0.750
7 Zr 0.500 0.500 0.000
8 Zr 0.250 0.750 0.500

Summary:
The offset from the most stable computed form is 140 meV per atom. For the density of states at the Fermi level, the calculation gives 0.955 states/eV/atom. Its magnetic moment is 0.0 μB/cell. For the formation energy, the calculation gives 0.294 eV per atom.



DFT (PBE-GGA) results for a relaxed Sr3Os crystal.

abc: 3.978 3.978 11.353
angles: 90.00 90.00 120.00
Atoms (fractional coordinates):
1 Os 0.000 0.000 0.000
2 Sr 0.000 0.000 0.500
3 Sr 0.667 0.333 0.174
4 Sr 0.667 0.333 0.826

Summary:
For the density of states at the Fermi level, the calculation gives 1.231 states/eV/atom. Its magnetic moment is 0.0 μB/cell. For the formation energy, the calculation gives 0.720 eV per atom.